! Ta11O2, relaxed, DFT PBE; values from VASP
! calculated total energy = -289.59 eV/cell
! formation energy from raw total energies = -33 kJ/mol of atoms
! total magnetization = 0.00 μB per formula unit
&SYSTEM
  ibrav = 0, nat = 26, ntyp = 2
/
ATOMIC_SPECIES
Ta 180.95 Ta.upf
O 16.00 O.upf
CELL_PARAMETERS angstrom
7.431 0.000 0.000
-1.432 7.530 0.000
-3.113 -3.206 8.039
ATOMIC_POSITIONS crystal
Ta 0.000 0.000 0.000
Ta 0.000 0.011 0.486
Ta 0.065 0.277 0.322
Ta 0.066 0.234 0.815
Ta 0.170 0.508 0.668
Ta 0.172 0.514 0.150
Ta 0.235 0.758 0.490
Ta 0.309 0.967 0.297
Ta 0.329 0.008 0.833
Ta 0.411 0.246 0.652
Ta 0.421 0.267 0.174
Ta 0.463 0.454 0.968
Ta 0.496 0.545 0.506
Ta 0.583 0.765 0.324
Ta 0.584 0.757 0.838
Ta 0.652 0.969 0.649
Ta 0.670 0.033 0.163
Ta 0.760 0.267 0.993
Ta 0.769 0.272 0.491
Ta 0.876 0.557 0.848
Ta 0.880 0.720 0.171
Ta 0.912 0.751 0.640
O 0.099 0.760 0.072
O 0.451 0.256 0.425
O 0.578 0.739 0.080
O 0.737 0.266 0.726



! Ta3O8, relaxed, DFT PBE; values from VASP
! calculated total energy = -417.57 eV/cell
! formation energy from raw total energies = -256 kJ/mol of atoms
! total magnetization = 0.84 μB per formula unit
&SYSTEM
  ibrav = 0, nat = 44, ntyp = 2
/
ATOMIC_SPECIES
Ta 180.95 Ta.upf
O 16.00 O.upf
CELL_PARAMETERS angstrom
17.018 0.000 0.000
0.000 3.919 0.000
0.000 0.000 9.122
ATOMIC_POSITIONS crystal
Ta 0.059 0.000 0.185
Ta 0.130 0.000 0.599
Ta 0.250 0.000 0.308
Ta 0.250 0.000 0.941
Ta 0.370 0.000 0.599
Ta 0.441 0.000 0.185
Ta 0.559 0.000 0.815
Ta 0.630 0.000 0.401
Ta 0.750 0.000 0.059
Ta 0.750 0.000 0.692
Ta 0.870 0.000 0.401
Ta 0.941 0.000 0.815
O 0.000 0.000 0.000
O 0.022 0.000 0.669
O 0.062 0.500 0.177
O 0.128 0.500 0.587
O 0.132 0.000 0.374
O 0.168 0.000 0.797
O 0.175 0.000 0.120
O 0.250 0.000 0.536
O 0.250 0.500 0.302
O 0.250 0.500 0.951
O 0.325 0.000 0.120
O 0.332 0.000 0.797
O 0.368 0.000 0.374
O 0.372 0.500 0.587
O 0.438 0.500 0.177
O 0.478 0.000 0.669
O 0.500 0.000 0.000
O 0.522 0.000 0.331
O 0.562 0.500 0.823
O 0.628 0.500 0.413
O 0.632 0.000 0.626
O 0.668 0.000 0.203
O 0.675 0.000 0.880
O 0.750 0.000 0.464
O 0.750 0.500 0.049
O 0.750 0.500 0.698
O 0.825 0.000 0.880
O 0.832 0.000 0.203
O 0.868 0.000 0.626
O 0.872 0.500 0.413
O 0.938 0.500 0.823
O 0.978 0.000 0.331



| no. | D(E_F) (states/eV per atom) |
| --- | --- |
| 1 | 0.78 |
| 2 | 0.36 |